LaErPdAu | Alexandria via LeMat-Bulk | GGA-PBE | relaxed; volume = 24.85 Å³/atom; magnetic moment = 0.00 μB/atom; excess energy over the best structure of this formula in the dataset = 0.000 eV per atom; formation energy from the elements = -854 meV/atom
1.0
-3.1817 -1.8592 -1.1126
1.8918 -0.6048 -4.3994
3.7522 -3.7066 2.1230
Er La Au Pd
1 1 1 1
direct
0.8653 0.5000 0.7306 Er
0.1405 0.0000 0.2809 La
0.5825 0.5000 0.1651 Au
0.4117 0.0000 0.8234 Pd

LaErSiAu | Alexandria via LeMat-Bulk | GGA-PBE | relaxed; volume = 24.41 Å³/atom; energy relative to the elements, uncorrected = -0.635 eV per atom; magnetic moment = 0.08 μB/atom
1.0
5.1687 0.0000 0.0000
2.5843 4.4762 0.0000
2.5843 1.4921 4.2202
Si Au La Er
1 1 1 1
direct
0.7500 0.7500 0.7500 Si
0.2500 0.2500 0.2500 Au
0.5000 0.5000 0.5000 La
0.0000 0.0000 0.0000 Er

LaErTlAu | Alexandria via LeMat-Bulk | GGA-PBE | relaxed; volume = 27.32 Å³/atom; magnetic moment = 0.00 μB/atom; formation energy from the elements = -543 meV/atom
1.0
5.3663 0.0000 0.0000
2.6832 4.6474 0.0000
2.6832 1.5491 4.3816
La Tl Au Er
1 1 1 1
direct
0.2500 0.2500 0.2500 La
0.5000 0.5000 0.5000 Tl
0.0000 0.0000 0.0000 Au
0.7500 0.7500 0.7500 Er

LaEr2TmAu4 | Alexandria via LeMat-Bulk | GGA-PBE | relaxed; volume = 23.90 Å³/atom; magnetic moment = 0.00 μB/atom; formation energy from the elements = -846 meV/atom
1.0
-2.4600 -0.7302 4.3600
-0.5882 -4.6841 1.8188
6.4134 -1.0616 6.3760
Au Er La Tm
4 2 1 1
direct
0.3856 0.3856 0.8431 Au
0.6144 0.6144 0.1569 Au
0.1287 0.1287 0.6140 Au
0.8713 0.8713 0.3860 Au
0.7532 0.7532 0.7403 Er
0.2468 0.2468 0.2597 Er
0.0000 0.0000 0.0000 La
0.5000 0.5000 0.5000 Tm

LaErZnAu | Alexandria via LeMat-Bulk | GGA-PBE | relaxed; volume = 24.54 Å³/atom; magnetic moment = 0.01 μB/atom; excess energy over the best structure of this formula in the dataset = 0.000 eV per atom; formation energy from the elements = -582 meV/atom
1.0
3.6446 0.0000 0.0000
0.0000 3.6446 0.0000
0.0000 0.0000 7.3910
La Zn Au Er
1 1 1 1
direct
0.5000 0.5000 0.6122 La
0.0000 0.0000 0.8842 Zn
0.0000 0.0000 0.3214 Au
0.5000 0.5000 0.1101 Er

LaErZn2Au5 | Alexandria via LeMat-Bulk | GGA-PBE | relaxed; volume = 21.12 Å³/atom; magnetic moment = 0.00 μB/atom; formation energy from the elements = -487 meV/atom
1.0
-1.0934 -1.3492 4.2754
1.0805 -4.3502 -1.0965
8.4155 1.4338 2.6046
Au Zn La Er
5 2 1 1
direct
0.0000 0.5000 0.2573 Au
0.5000 0.0000 0.7427 Au
0.5000 0.5000 0.5000 Au
0.5000 0.0000 0.2573 Au
0.0000 0.5000 0.7427 Au
0.5000 0.5000 0.8664 Zn
0.5000 0.5000 0.1336 Zn
0.0000 0.0000 0.5000 La
0.0000 0.0000 0.0000 Er